No. 1
Density functional theory data (PBE) for a relaxed PmDyZn10 crystal.

Output
ΔH_f (0 K), eV/atom: -0.287
E_tot, eV per atom: -2.1277
SG: Pmmm (47)
V, Å³ per atom: 17.4

a = 4.2274 Å, b = 5.3423 Å, c = 9.2348 Å
α = 90.00°, β = 90.00°, γ = 90.00°
Positions (direct):
Pm (0.0000, 0.0000, 0.0000)
Dy (0.0000, 0.5000, 0.5000)
Zn (0.0000, 0.0000, 0.3370)
Zn (0.0000, 0.5000, 0.8300)
Zn (0.0000, 0.5000, 0.1700)
Zn (0.0000, 0.0000, 0.6630)
Zn (0.5000, 0.0000, 0.5000)
Zn (0.5000, 0.5000, 0.0000)
Zn (0.5000, 0.2512, 0.2522)
Zn (0.5000, 0.7488, 0.7478)
Zn (0.5000, 0.7488, 0.2522)
Zn (0.5000, 0.2512, 0.7478)

No. 2
Density functional theory data (PBE) for a relaxed PrTh2Pb crystal.

Output
ΔH_f (0 K), eV/atom: 0.143
E_tot, eV per atom: -5.6890
E above lowest polymorph, eV/f.u.: 1.37
SG: R-3m (166)
V, Å³ per atom: 32.7

a = 3.4607 Å, b = 3.4607 Å, c = 12.7846 Å
α = 82.22°, β = 82.22°, γ = 60.00°
Positions (direct):
Pb (0.5000, 0.5000, 0.5000)
Pr (0.0000, 0.0000, 0.0000)
Th (0.0909, 0.0909, 0.7274)
Th (0.9091, 0.9091, 0.2726)

No. 3
Density functional theory data (PBE) for a relaxed Tm4TlBiC crystal.

Output
ΔH_f (0 K), eV/atom: -0.551
E_tot, eV per atom: -5.3164
SG: Cmcm (63)
V, Å³ per atom: 25.5

a = 6.7254 Å, b = 6.7263 Å, c = 8.5830 Å
α = 90.00°, β = 113.07°, γ = 90.00°
Positions (direct):
Tm (0.9097, 0.2500, 0.8194)
Tm (0.4032, 0.7500, 0.8064)
Tm (0.0903, 0.7500, 0.1806)
Tm (0.5968, 0.2500, 0.1936)
Tm (0.5000, 0.5000, 0.5000)
Tm (0.0000, 0.0000, 0.5000)
Tm (0.5000, 0.0000, 0.5000)
Tm (0.0000, 0.5000, 0.5000)
Tl (0.1103, 0.2500, 0.2206)
Tl (0.8897, 0.7500, 0.7794)
Bi (0.6053, 0.7500, 0.2106)
Bi (0.3947, 0.2500, 0.7894)
C (0.2500, 0.7500, 0.4999)
C (0.7500, 0.2500, 0.5001)

No. 4
Density functional theory data (PBE) for a relaxed Dy3PSe2 crystal.

Output
Formation energy (no corrections), eV/atom: -1.78
E_tot, eV per atom: -6.1492
SG: Immm (71)
V, Å³ per atom: 23.6

a = 4.0230 Å, b = 5.7033 Å, c = 7.0843 Å
α = 113.74°, β = 106.50°, γ = 90.00°
Positions (direct):
Dy (0.8480, 0.3481, 0.1961)
Dy (0.1520, 0.6520, 0.8039)
Dy (0.5000, 0.0000, 0.5000)
P (0.5000, 0.5000, 0.5000)
Se (0.8295, 0.8295, 0.1590)
Se (0.1705, 0.1705, 0.8410)

No. 5
Density functional theory data (PBE) for a relaxed K3Er crystal.

Output
ΔH_f (0 K), eV/atom: 0.576
E_tot, eV per atom: -1.3883
E above lowest polymorph, eV/f.u.: 0.00
SG: P6_3/mmc (194)
V, Å³ per atom: 55.9

a = 8.5653 Å, b = 8.5653 Å, c = 7.0358 Å
α = 90.00°, β = 90.00°, γ = 120.00°
Positions (direct):
K (0.1723, 0.3445, 0.2500)
K (0.6555, 0.8277, 0.2500)
K (0.1723, 0.8277, 0.2500)
K (0.8277, 0.6555, 0.7500)
K (0.3445, 0.1723, 0.7500)
K (0.8277, 0.1723, 0.7500)
Er (0.3333, 0.6667, 0.7500)
Er (0.6667, 0.3333, 0.2500)

No. 6
Density functional theory data (PBE) for a relaxed Er12Tm5Pb2 crystal.

Output
ΔH_f (0 K), eV/atom: -0.025
E_tot, eV per atom: -4.4738
SG: C2/m (12)
V, Å³ per atom: 30.5

a = 9.3887 Å, b = 8.8813 Å, c = 8.2007 Å
α = 91.41°, β = 90.00°, γ = 121.91°
Positions (direct):
Er (0.9145, 0.8291, 0.1188)
Er (0.0318, 0.6959, 0.7656)
Er (0.6641, 0.6959, 0.7656)
Er (0.1768, 0.7521, 0.3518)
Er (0.5752, 0.7521, 0.3518)
Er (0.4490, 0.8980, 0.6818)
Er (0.5510, 0.1020, 0.3182)
Er (0.8232, 0.2479, 0.6482)
Er (0.4248, 0.2479, 0.6482)
Er (0.9682, 0.3041, 0.2344)
Er (0.3359, 0.3041, 0.2344)
Er (0.0855, 0.1709, 0.8812)
Tm (0.2363, 0.4725, 0.5823)
Tm (0.3154, 0.6307, 0.9993)
Tm (0.0000, 0.0000, 0.5000)
Tm (0.6846, 0.3693, 0.0007)
Tm (0.7637, 0.5275, 0.4177)
Pb (0.6954, 0.0000, 0.0000)
Pb (0.3046, 0.0000, 0.0000)

No. 7
Density functional theory data (PBE) for a relaxed CrRe2Sn crystal.

Output
ΔH_f (0 K), eV/atom: 0.848
E_tot, eV per atom: -8.7828
SG: I-42d (122)
V, Å³ per atom: 18.1

a = 3.9203 Å, b = 3.9203 Å, c = 9.8438 Å
α = 78.51°, β = 78.51°, γ = 90.00°
Positions (direct):
Re (0.5626, 0.1250, 0.2500)
Re (0.1874, 0.6250, 0.2500)
Re (0.3750, 0.4374, 0.7500)
Re (0.8750, 0.8126, 0.7500)
Sn (0.0000, 0.0000, 0.0000)
Sn (0.7500, 0.2500, 0.5000)
Cr (0.5000, 0.5000, 0.0000)
Cr (0.2500, 0.7500, 0.5000)

No. 8
Density functional theory data (PBE) for a relaxed Cu2Sn2Pb crystal.

Output
ΔH_f (0 K), eV/atom: 0.226
E_tot, eV per atom: -3.7553
E above lowest polymorph, eV/f.u.: 0.41
SG: P4/mbm (127)
V, Å³ per atom: 22.0

a = 8.4206 Å, b = 8.4206 Å, c = 3.0963 Å
α = 90.00°, β = 90.00°, γ = 90.00°
Positions (direct):
Pb (0.0000, 0.0000, 0.0000)
Pb (0.5000, 0.5000, 0.0000)
Sn (0.3537, 0.8537, 0.0000)
Sn (0.8537, 0.6463, 0.0000)
Sn (0.6463, 0.1463, 0.0000)
Sn (0.1463, 0.3537, 0.0000)
Cu (0.1424, 0.6424, 0.5000)
Cu (0.6424, 0.8576, 0.5000)
Cu (0.8576, 0.3576, 0.5000)
Cu (0.3576, 0.1424, 0.5000)

Repeat the first record exactly.
Density functional theory data (PBE) for a relaxed PmDyZn10 crystal.

Output
ΔH_f (0 K), eV/atom: -0.287
E_tot, eV per atom: -2.1277
SG: Pmmm (47)
V, Å³ per atom: 17.4

a = 4.2274 Å, b = 5.3423 Å, c = 9.2348 Å
α = 90.00°, β = 90.00°, γ = 90.00°
Positions (direct):
Pm (0.0000, 0.0000, 0.0000)
Dy (0.0000, 0.5000, 0.5000)
Zn (0.0000, 0.0000, 0.3370)
Zn (0.0000, 0.5000, 0.8300)
Zn (0.0000, 0.5000, 0.1700)
Zn (0.0000, 0.0000, 0.6630)
Zn (0.5000, 0.0000, 0.5000)
Zn (0.5000, 0.5000, 0.0000)
Zn (0.5000, 0.2512, 0.2522)
Zn (0.5000, 0.7488, 0.7478)
Zn (0.5000, 0.7488, 0.2522)
Zn (0.5000, 0.2512, 0.7478)

Copy entry 5 word for word.
Density functional theory data (PBE) for a relaxed K3Er crystal.

Output
ΔH_f (0 K), eV/atom: 0.576
E_tot, eV per atom: -1.3883
E above lowest polymorph, eV/f.u.: 0.00
SG: P6_3/mmc (194)
V, Å³ per atom: 55.9

a = 8.5653 Å, b = 8.5653 Å, c = 7.0358 Å
α = 90.00°, β = 90.00°, γ = 120.00°
Positions (direct):
K (0.1723, 0.3445, 0.2500)
K (0.6555, 0.8277, 0.2500)
K (0.1723, 0.8277, 0.2500)
K (0.8277, 0.6555, 0.7500)
K (0.3445, 0.1723, 0.7500)
K (0.8277, 0.1723, 0.7500)
Er (0.3333, 0.6667, 0.7500)
Er (0.6667, 0.3333, 0.2500)

Please write out number 3 again, unchanged.
Density functional theory data (PBE) for a relaxed Tm4TlBiC crystal.

Output
ΔH_f (0 K), eV/atom: -0.551
E_tot, eV per atom: -5.3164
SG: Cmcm (63)
V, Å³ per atom: 25.5

a = 6.7254 Å, b = 6.7263 Å, c = 8.5830 Å
α = 90.00°, β = 113.07°, γ = 90.00°
Positions (direct):
Tm (0.9097, 0.2500, 0.8194)
Tm (0.4032, 0.7500, 0.8064)
Tm (0.0903, 0.7500, 0.1806)
Tm (0.5968, 0.2500, 0.1936)
Tm (0.5000, 0.5000, 0.5000)
Tm (0.0000, 0.0000, 0.5000)
Tm (0.5000, 0.0000, 0.5000)
Tm (0.0000, 0.5000, 0.5000)
Tl (0.1103, 0.2500, 0.2206)
Tl (0.8897, 0.7500, 0.7794)
Bi (0.6053, 0.7500, 0.2106)
Bi (0.3947, 0.2500, 0.7894)
C (0.2500, 0.7500, 0.4999)
C (0.7500, 0.2500, 0.5001)